DFT (PBE) results for crystalline LaPrAsBr at its relaxed geometry.

Lattice parameters (Å, degrees): 4.2353 4.2371 8.0508 90.00 105.23 120.01
Sites, in units of the cell vectors:
La (0.4944, 0.1451, 0.6552)
As (0.3067, 0.5513, 0.8734)
Br (0.9655, 0.3808, 0.3613)
Pr (0.1112, 0.9536, 0.0798)

Values from the calculation:
The calculation puts the uncorrected formation energy at -566 kJ/mol of formula units. As for the symmetry: No. 160. Its crystal system is trigonal. Its mass density is 6.055 g cm⁻³.

***

DFT (PBE) results for crystalline Hg3CI at its relaxed geometry.

Lattice parameters (Å, degrees): 4.9274 4.9274 4.9274 90.00 90.00 90.00
Sites, in units of the cell vectors:
I (0.5000, 0.5000, 0.5000)
C (0.0000, 0.0000, 0.0000)
Hg (0.5000, 0.0000, 0.0000)
Hg (0.0000, 0.5000, 0.0000)
Hg (0.0000, 0.0000, 0.5000)

Values from the calculation:
The energy above the most stable polymorph in this dataset comes out at 0.000 eV per formula unit. The calculation puts the uncorrected formation energy at 370 kJ/mol of formula units. As for the symmetry: No. 221. Its crystal system is cubic. Its mass density is 10.281 g cm⁻³.